Record 1
Below is an optimized crystal structure of Pm2HfUP4, with properties calculated at the GGA-PBE level.

Cell: 6.820 3.946 6.908 Å, 90.00 109.05 90.00°
Space group P2/m (No. 10)
Symmetry-distinct sites (fractional):
1 Pm 0.000 0.000 0.000 [1 per cell]
2 Pm 0.500 0.500 0.000 [1 per cell]
3 Hf 0.000 0.500 0.500 [1 per cell]
4 U 0.500 0.000 0.500 [1 per cell]
5 P 0.237 0.000 0.725 [2 per cell]
6 P 0.250 0.500 0.270 [2 per cell]

- total energy (eV/atom) = -7.8848

=====

Record 2
Below is an optimized crystal structure of ScP2Ru2, with properties calculated at the GGA-PBE level.

Cell: 7.043 7.043 2.879 Å, 90.00 90.00 90.00°
Space group P4/mbm (No. 127)
Symmetry-distinct sites (fractional):
1 Sc 0.000 0.000 0.000 [2 per cell]
2 P 0.152 0.348 0.000 [4 per cell]
3 Ru 0.142 0.642 0.500 [4 per cell]

- total energy (eV/atom) = -7.6495

=====

Record 3
Below is an optimized crystal structure of V4Ni4Pt3, with properties calculated at the GGA-PBE level.

Cell: 4.353 5.001 13.688 Å, 90.00 90.00 90.00°
Space group Immm (No. 71)
Symmetry-distinct sites (fractional):
1 V 0.000 0.000 0.174 [4 per cell]
2 V 0.000 0.236 0.500 [4 per cell]
3 Ni 0.000 0.259 0.316 [8 per cell]
4 Pt 0.000 0.000 0.000 [2 per cell]
5 Pt 0.000 0.500 0.105 [4 per cell]

- total energy (eV/atom) = -7.1538

=====

Record 4
Below is an optimized crystal structure of Cu3P3Pb, with properties calculated at the GGA-PBE level.

Cell: 6.417 6.417 6.417 Å, 90.00 90.00 90.00°
Space group Pm-3n (No. 223)
Symmetry-distinct sites (fractional):
1 Cu 0.000 0.250 0.500 [6 per cell]
2 P 0.000 0.500 0.250 [6 per cell]
3 Pb 0.000 0.000 0.000 [2 per cell]

- total energy (eV/atom) = -4.4200

=====

Record 5
Below is an optimized crystal structure of RbBa2PtO4, with properties calculated at the GGA-PBE level.

Cell: 6.485 6.485 7.274 Å, 90.00 90.00 90.00°
Space group I4/mmm (No. 139)
Symmetry-distinct sites (fractional):
1 Rb 0.000 0.000 0.000 [2 per cell]
2 Ba 0.000 0.500 0.250 [4 per cell]
3 Pt 0.000 0.000 0.500 [2 per cell]
4 O 0.218 0.218 0.500 [8 per cell]

- formation energy without anion corrections (eV per atom) = -1.717
- total energy (eV/atom) = -5.5530

=====

Record 6
Below is an optimized crystal structure of CsRbCd2Au2, with properties calculated at the GGA-PBE level.

Cell: 4.9370 4.9370 10.2160 Å, 90.00 90.00 120.00°
Space group P-3m1 (No. 164)
Symmetry-distinct sites (fractional):
1 Cs 0.0000 0.0000 0.0000 [1 per cell]
2 Rb 0.0000 0.0000 0.5000 [1 per cell]
3 Cd 0.3333 0.6667 0.7351 [2 per cell]
4 Au 0.3333 0.6667 0.2599 [2 per cell]

- total energy (eV/atom) = -1.9334

=====

Record 7
Below is an optimized crystal structure of SrZn2Ru, with properties calculated at the GGA-PBE level.

Cell: 4.384 4.384 7.930 Å, 90.00 90.00 90.00°
Space group I4/mmm (No. 139)
Symmetry-distinct sites (fractional):
1 Sr 0.000 0.000 0.000 [2 per cell]
2 Zn 0.000 0.500 0.250 [4 per cell]
3 Ru 0.000 0.000 0.500 [2 per cell]

- total energy (eV/atom) = -3.1631

=====

Record 8
Below is an optimized crystal structure of Sr3Ga2Hg4Bi2, with properties calculated at the GGA-PBE level.

Cell: 4.954 4.954 27.148 Å, 90.00 90.00 90.00°
Space group I4/mmm (No. 139)
Symmetry-distinct sites (fractional):
1 Sr 0.000 0.000 0.000 [2 per cell]
2 Sr 0.000 0.000 0.192 [4 per cell]
3 Ga 0.000 0.000 0.452 [4 per cell]
4 Hg 0.000 0.500 0.095 [8 per cell]
5 Bi 0.000 0.000 0.321 [4 per cell]

- total energy (eV/atom) = -2.2217

=====

Record 9
Below is an optimized crystal structure of Cs2Nd2USe6, with properties calculated at the GGA-PBE level.

Cell: 7.466 12.871 8.950 Å, 90.00 106.58 90.00°
Space group C2/m (No. 12)
Symmetry-distinct sites (fractional):
1 Cs 0.000 0.170 0.000 [4 per cell]
2 Nd 0.000 0.333 0.500 [4 per cell]
3 U 0.000 0.000 0.500 [2 per cell]
4 Se 0.223 0.161 0.684 [8 per cell]
5 Se 0.244 0.500 0.684 [4 per cell]

- formation energy without anion corrections (eV per atom) = -1.588
- total energy (eV/atom) = -5.5367

=====

Record 10
Below is an optimized crystal structure of Pr2Sm3Sc2, with properties calculated at the GGA-PBE level.

Cell: 11.126 5.040 7.973 Å, 90.00 98.57 90.00°
Space group C2/m (No. 12)
Symmetry-distinct sites (fractional):
1 Pr 0.072 0.000 0.225 [4 per cell]
2 Sm 0.000 0.500 0.500 [2 per cell]
3 Sm 0.145 0.500 0.931 [4 per cell]
4 Sc 0.216 0.000 0.639 [4 per cell]

- energy above the lowest structure with this stoichiometry (meV/atom) = 0
- total energy (eV/atom) = -5.1453

=====

Record 11
Below is an optimized crystal structure of AcRuC2, with properties calculated at the GGA-PBE level.

Cell: 4.279 4.794 6.391 Å, 90.00 90.00 90.00°
Space group Amm2 (No. 38)
Symmetry-distinct sites (fractional):
1 Ac 0.000 0.000 0.000 [2 per cell]
2 Ru 0.500 0.000 0.381 [2 per cell]
3 C 0.500 0.145 0.703 [4 per cell]

- energy above the lowest structure with this stoichiometry (meV/atom) = 0
- total energy (eV/atom) = -8.0295

=====

Record 12
Below is an optimized crystal structure of SrTaAs, with properties calculated at the GGA-PBE level.

Cell: 7.147 7.147 7.147 Å, 90.00 90.00 90.00°
Space group F-43m (No. 216)
Symmetry-distinct sites (fractional):
1 Sr 0.000 0.000 0.000 [4 per cell]
2 Ta 0.250 0.250 0.750 [4 per cell]
3 As 0.250 0.250 0.250 [4 per cell]

- energy above the lowest structure with this stoichiometry (meV/atom) = 1999
- total energy (eV/atom) = -4.6934

=====

Record 13
Below is an optimized crystal structure of Cs2K3RuO6, with properties calculated at the GGA-PBE level.

Cell: 6.833 12.110 6.295 Å, 90.00 112.03 90.00°
Space group C2/m (No. 12)
Symmetry-distinct sites (fractional):
1 Cs 0.000 0.171 0.000 [4 per cell]
2 K 0.000 0.000 0.500 [2 per cell]
3 K 0.000 0.356 0.500 [4 per cell]
4 Ru 0.000 0.500 0.000 [2 per cell]
5 O 0.175 0.500 0.819 [4 per cell]
6 O 0.179 0.387 0.200 [8 per cell]

- formation energy without anion corrections (eV per atom) = -1.187
- total energy (eV/atom) = -4.8555

=====

Record 14
Below is an optimized crystal structure of LiVAs2, with properties calculated at the GGA-PBE level.

Cell: 3.1825 3.1825 22.6621 Å, 90.00 90.00 120.00°
Space group R-3m (No. 166, hexagonal axes)
Symmetry-distinct sites (fractional):
1 Li 0.0000 0.0000 0.0000 [3 per cell]
2 V 0.0000 0.0000 0.5000 [3 per cell]
3 As 0.0000 0.0000 0.2427 [6 per cell]

- energy above the lowest structure with this stoichiometry (meV/atom) = 0
- total energy (eV/atom) = -5.5100

=====

Record 15
Below is an optimized crystal structure of Be3ZnAs3, with properties calculated at the GGA-PBE level.

Cell: 6.3341 6.3341 19.6010 Å, 90.00 90.00 120.00°
Space group R-3 (No. 148, hexagonal axes)
Symmetry-distinct sites (fractional):
1 Be 0.0018 0.6640 0.1997 [18 per cell]
2 Zn 0.0000 0.0000 0.3341 [6 per cell]
3 As 0.0024 0.6643 0.4184 [18 per cell]

- total energy (eV/atom) = -3.8156

=====

Record 16
Below is an optimized crystal structure of Nd4MgRh2, with properties calculated at the GGA-PBE level.

Cell: 7.378 7.378 7.828 Å, 102.77 102.75 95.64°
Space group P1 (No. 1)
Symmetry-distinct sites (fractional):
1 Nd 0.000 0.000 0.000 [1 per cell]
2 Nd 0.017 0.016 0.502 [1 per cell]
3 Nd 0.048 0.445 0.866 [1 per cell]
4 Nd 0.430 0.427 0.521 [1 per cell]
5 Nd 0.527 0.097 0.146 [1 per cell]
6 Nd 0.572 0.967 0.636 [1 per cell]
7 Nd 0.589 0.586 0.982 [1 per cell]
8 Nd 0.919 0.489 0.356 [1 per cell]
9 Mg 0.233 0.784 0.751 [1 per cell]
10 Mg 0.279 0.738 0.251 [1 per cell]
11 Rh 0.318 0.187 0.814 [1 per cell]
12 Rh 0.749 0.263 0.963 [1 per cell]
13 Rh 0.753 0.267 0.539 [1 per cell]
14 Rh 0.829 0.698 0.688 [1 per cell]

- total energy (eV/atom) = -5.4133

=====

Record 17
Below is an optimized crystal structure of Ba3Cd4Ag2, with properties calculated at the GGA-PBE level.

Cell: 12.481 5.095 9.810 Å, 90.00 108.41 90.00°
Space group C2/m (No. 12)
Symmetry-distinct sites (fractional):
1 Ba 0.000 0.000 0.000 [2 per cell]
2 Ba 0.170 0.500 0.660 [4 per cell]
3 Cd 0.049 0.000 0.379 [4 per cell]
4 Cd 0.223 0.500 0.060 [4 per cell]
5 Ag 0.106 0.500 0.274 [4 per cell]

- total energy (eV/atom) = -1.9883

=====

Record 18
Below is an optimized crystal structure of KPm2Mn2N6, with properties calculated at the GGA-PBE level.

Cell: 6.116 6.383 6.516 Å, 93.51 117.33 114.67°
Space group P-1 (No. 2)
Symmetry-distinct sites (fractional):
1 K 0.000 0.000 0.000 [1 per cell]
2 Pm 0.393 0.299 0.688 [2 per cell]
3 Mn 0.213 0.673 0.671 [2 per cell]
4 N 0.132 0.893 0.674 [2 per cell]
5 N 0.246 0.532 0.882 [2 per cell]
6 N 0.428 0.682 0.576 [2 per cell]

- formation energy without anion corrections (eV per atom) = -0.491
- total energy (eV/atom) = -7.6631

=====

Record 19
Below is an optimized crystal structure of SrIn2Hg2Bi, with properties calculated at the GGA-PBE level.

Cell: 5.3530 5.3530 6.9550 Å, 90.00 90.00 120.00°
Space group P-3m1 (No. 164)
Symmetry-distinct sites (fractional):
1 Sr 0.0000 0.0000 0.0000 [1 per cell]
2 In 0.3333 0.6667 0.7039 [2 per cell]
3 Hg 0.3333 0.6667 0.2167 [2 per cell]
4 Bi 0.0000 0.0000 0.5000 [1 per cell]

- total energy (eV/atom) = -2.2220

=====

Record 20
Below is an optimized crystal structure of PHRuS, with properties calculated at the GGA-PBE level.

Cell: 3.016 4.384 4.623 Å, 81.90 71.11 69.91°
Space group P1 (No. 1)
Symmetry-distinct sites (fractional):
1 P 0.000 0.000 0.000 [1 per cell]
2 H 0.822 0.347 0.011 [1 per cell]
3 Ru 0.750 0.908 0.588 [1 per cell]
4 S 0.503 0.482 0.509 [1 per cell]

- energy above the lowest structure with this stoichiometry (meV/atom) = 156
- total energy (eV/atom) = -5.5861

=====

Record 21
Below is an optimized crystal structure of Ac2Nd2Sn2N, with properties calculated at the GGA-PBE level.

Cell: 4.989 4.989 17.421 Å, 90.00 90.00 90.00°
Space group I4/mmm (No. 139)
Symmetry-distinct sites (fractional):
1 Ac 0.000 0.000 0.166 [4 per cell]
2 Nd 0.000 0.500 0.000 [4 per cell]
3 Sn 0.000 0.000 0.366 [4 per cell]
4 N 0.000 0.000 0.000 [2 per cell]

- formation energy without anion corrections (eV per atom) = -0.902
- total energy (eV/atom) = -5.7707

=====

Record 22
Below is an optimized crystal structure of NaHgAs2Se, with properties calculated at the GGA-PBE level.

Cell: 5.241 5.241 5.548 Å, 90.00 90.00 90.00°
Space group P4/mmm (No. 123)
Symmetry-distinct sites (fractional):
1 Na 0.000 0.000 0.000 [1 per cell]
2 Hg 0.500 0.500 0.500 [1 per cell]
3 As 0.000 0.500 0.500 [2 per cell]
4 Se 0.500 0.500 0.000 [1 per cell]

- formation energy without anion corrections (eV per atom) = 0.508
- energy above the lowest structure with this stoichiometry (meV/atom) = 0
- total energy (eV/atom) = -2.3724

=====

Record 23
Below is an optimized crystal structure of La3TlCoCl, with properties calculated at the GGA-PBE level.

Cell: 7.736 4.945 9.484 Å, 90.00 101.99 90.00°
Space group P2_1/m (No. 11)
Symmetry-distinct sites (fractional):
1 La 0.073 0.250 0.382 [2 per cell]
2 La 0.209 0.250 0.924 [2 per cell]
3 La 0.384 0.750 0.613 [2 per cell]
4 Tl 0.241 0.750 0.231 [2 per cell]
5 Co 0.148 0.250 0.652 [2 per cell]
6 Cl 0.405 0.750 0.913 [2 per cell]

- formation energy without anion corrections (eV per atom) = -0.624
- total energy (eV/atom) = -4.9740

=====

Record 24
Below is an optimized crystal structure of MgTcIr6, with properties calculated at the GGA-PBE level.

Cell: 3.875 3.875 7.799 Å, 90.00 90.00 90.00°
Space group P4/mmm (No. 123)
Symmetry-distinct sites (fractional):
1 Mg 0.000 0.000 0.000 [1 per cell]
2 Tc 0.000 0.000 0.500 [1 per cell]
3 Ir 0.000 0.500 0.257 [4 per cell]
4 Ir 0.500 0.500 0.000 [1 per cell]
5 Ir 0.500 0.500 0.500 [1 per cell]

- total energy (eV/atom) = -8.3354

=====

Computed N(E_F) (states/eV per cell) in order:
7.51, 7.14, 18.71, 11.15, 12.96, 2.12, 4.06, 8.81, 13.97, 20.73, 3.28, 7.32, 12.99, 4.77, 6.59, 11.42, 10.59, 4.79, 3.54, 1.72, 11.17, 3.71, 9.00, 7.70
Computed total moment (μB per formula unit) in order:
2.02, 0.44, 0.00, 0.00, 1.08, 0.00, 0.00, 0.00, 2.00, 0.00, 0.00, 3.67, 1.05, 0.00, 0.00, 0.00, 0.00, 1.05, 0.00, 0.00, 0.31, 1.29, 0.00, 0.00